DFT (PBE) results for Ba2Sc2F after structural relaxation.

Values from the calculation:
E_form (uncorrected): 0.536 eV/atom
ΔE to the lowest computed polymorph: 512 meV/atom
symmetry: I4/mmm (139)
energy: -3.14 eV/atom
total moment: 2.2 μB per formula unit

POSCAR file:
```
Ba2Sc2F
1.0
4.626 0.000 0.000
0.000 4.626 0.000
2.313 2.313 8.949
Sc Ba F
2 2 1
direct
0.424 0.424 0.151 Sc
0.576 0.576 0.849 Sc
0.750 0.250 0.500 Ba
0.250 0.750 0.500 Ba
0.000 0.000 0.000 F
```

---

DFT (PBE) results for BaSc2F after structural relaxation.

Values from the calculation:
E_form (uncorrected): 0.172 eV/atom
ΔE to the lowest computed polymorph: 1112 meV/atom
symmetry: Fm-3m (225)
energy: -3.94 eV/atom
total moment: 0.0 μB per formula unit

POSCAR file:
```
BaSc2F
1.0
-0.773 -3.772 3.489
0.895 0.899 5.039
-3.977 0.316 3.329
Sc Ba F
2 1 1
direct
0.250 0.250 0.250 Sc
0.750 0.750 0.750 Sc
0.500 0.500 0.500 Ba
0.000 0.000 0.000 F
```

---

DFT (PBE) results for BaSc2F after structural relaxation.

Values from the calculation:
E_form (uncorrected): -0.940 eV/atom
ΔE to the lowest computed polymorph: 0 meV/atom
symmetry: I-42d (122)
energy: -5.05 eV/atom
total moment: 0.6 μB per formula unit

POSCAR file:
```
BaSc2F
1.0
7.012 0.000 0.000
0.000 7.012 0.000
3.506 3.506 4.892
Sc Ba F
4 2 2
direct
0.406 0.125 0.250 Sc
0.344 0.625 0.250 Sc
0.375 0.594 0.750 Sc
0.875 0.656 0.750 Sc
0.000 0.000 0.000 Ba
0.750 0.250 0.500 Ba
0.500 0.500 0.000 F
0.250 0.750 0.500 F
```

---

DFT (PBE) results for Ba3ScF after structural relaxation.

Values from the calculation:
E_form (uncorrected): -0.860 eV/atom
ΔE to the lowest computed polymorph: 0 meV/atom
symmetry: Pm-3m (221)
energy: -3.65 eV/atom
total moment: 0.0 μB per formula unit

POSCAR file:
```
Ba3ScF
1.0
5.702 0.000 0.000
0.000 5.702 0.000
0.000 0.000 5.702
Sc Ba F
1 3 1
direct
0.500 0.500 0.500 Sc
0.000 0.500 0.000 Ba
0.000 0.000 0.500 Ba
0.500 0.000 0.000 Ba
0.000 0.000 0.000 F
```

---

DFT (PBE) results for BaSc3F after structural relaxation.

Values from the calculation:
E_form (uncorrected): 1.104 eV/atom
ΔE to the lowest computed polymorph: 1613 meV/atom
symmetry: Pm-3m (221)
energy: -3.45 eV/atom
total moment: 0.0 μB per formula unit

POSCAR file:
```
BaSc3F
1.0
5.429 0.000 0.000
0.000 5.429 0.000
0.000 0.000 5.429
Sc Ba F
3 1 1
direct
0.000 0.500 0.000 Sc
0.000 0.000 0.500 Sc
0.500 0.000 0.000 Sc
0.000 0.000 0.000 Ba
0.500 0.500 0.500 F
```

---

DFT (PBE) results for Ba2Sc2F after structural relaxation.

Values from the calculation:
E_form (uncorrected): 0.024 eV/atom
ΔE to the lowest computed polymorph: 0 meV/atom
symmetry: P4/mbm (127)
energy: -3.65 eV/atom
total moment: 1.0 μB per formula unit

POSCAR file:
```
Ba2Sc2F
1.0
-6.280 7.324 2.229
-3.538 -5.333 7.555
2.759 1.624 2.439
Sc Ba F
4 4 2
direct
0.405 0.905 0.000 Sc
0.905 0.595 0.000 Sc
0.595 0.095 0.000 Sc
0.095 0.405 0.000 Sc
0.195 0.695 0.500 Ba
0.695 0.805 0.500 Ba
0.805 0.305 0.500 Ba
0.305 0.195 0.500 Ba
0.000 0.000 0.000 F
0.500 0.500 0.000 F
```

---

DFT (PBE) results for BaSc2F7 after structural relaxation.

Values from the calculation:
E_form (uncorrected): -3.731 eV/atom
symmetry: Cmmm (65)
energy: -6.50 eV/atom
total moment: 1.0 μB per formula unit

POSCAR file:
```
BaSc2F7
1.0
4.141 0.000 0.000
0.000 6.346 0.078
0.000 -2.729 5.729
Ba Sc F
1 2 7
direct
0.000 0.000 0.000 Ba
0.500 0.693 0.307 Sc
0.500 0.307 0.693 Sc
0.000 0.713 0.287 F
0.000 0.287 0.713 F
0.500 0.047 0.324 F
0.500 0.953 0.676 F
0.500 0.324 0.047 F
0.500 0.676 0.953 F
0.500 0.500 0.500 F
```

---

DFT (PBE) results for Ba2ScF6 after structural relaxation.

Values from the calculation:
E_form (uncorrected): -3.597 eV/atom
symmetry: P4_2/mnm (136)
energy: -5.98 eV/atom
total moment: 0.6 μB per formula unit

POSCAR file:
```
Ba2ScF6
1.0
5.565 0.000 0.000
0.000 5.565 0.000
0.000 0.000 12.004
Ba Sc F
4 2 12
direct
0.000 0.000 0.336 Ba
0.500 0.500 0.836 Ba
0.500 0.500 0.164 Ba
0.000 0.000 0.664 Ba
0.000 0.000 0.000 Sc
0.500 0.500 0.500 Sc
0.330 0.330 0.355 F
0.670 0.670 0.355 F
0.170 0.830 0.855 F
0.830 0.170 0.855 F
0.170 0.830 0.145 F
0.830 0.170 0.145 F
0.330 0.330 0.645 F
0.670 0.670 0.645 F
0.266 0.266 0.000 F
0.734 0.734 0.000 F
0.234 0.766 0.500 F
0.766 0.234 0.500 F
```

---

DFT (PBE) results for BaScSe2F after structural relaxation.

Values from the calculation:
E_form (uncorrected): -2.449 eV/atom
symmetry: P4/mmm (123)
energy: -5.87 eV/atom
total moment: 0.0 μB per formula unit

POSCAR file:
```
BaScSe2F
1.0
-1.828 -0.236 -5.062
-5.013 -0.700 1.843
-0.577 4.170 0.014
Sc Ba Se F
1 1 2 1
direct
0.000 0.000 0.000 Sc
0.500 0.500 0.500 Ba
0.000 0.500 0.000 Se
0.500 0.000 0.000 Se
0.000 0.000 0.500 F
```

---

DFT (PBE) results for BaScSn2F8 after structural relaxation.

Values from the calculation:
E_form (uncorrected): -2.984 eV/atom
symmetry: P-1 (2)
energy: -5.59 eV/atom
total moment: 0.0 μB per formula unit

POSCAR file:
```
BaScSn2F8
1.0
4.474 -0.031 0.149
0.048 6.164 0.150
0.283 0.219 7.951
Ba Sc Sn F
1 1 2 8
direct
0.000 0.000 0.500 Ba
0.000 0.000 0.000 Sc
0.497 0.469 0.751 Sn
0.503 0.531 0.249 Sn
0.214 0.843 0.192 F
0.726 0.728 0.019 F
0.781 0.136 0.198 F
0.786 0.157 0.808 F
0.274 0.272 0.981 F
0.219 0.864 0.802 F
0.524 0.750 0.469 F
0.476 0.250 0.531 F
```

---

DFT (PBE) results for BaScTe2F after structural relaxation.

Values from the calculation:
E_form (uncorrected): -2.120 eV/atom
symmetry: P4/mmm (123)
energy: -5.40 eV/atom
total moment: 0.0 μB per formula unit

POSCAR file:
```
BaScTe2F
1.0
-1.719 -0.294 5.568
-3.953 -4.046 -1.434
2.856 -3.046 0.721
Sc Te Ba F
1 2 1 1
direct
0.000 0.000 0.000 Sc
0.000 0.500 0.000 Te
0.500 0.000 0.000 Te
0.500 0.500 0.500 Ba
0.000 0.000 0.500 F
```

---

DFT (PBE) results for BaSe2F8 after structural relaxation.

Values from the calculation:
E_form (uncorrected): -2.067 eV/atom
symmetry: P-1 (2)
energy: -4.24 eV/atom
total moment: 0.0 μB per formula unit

POSCAR file:
```
BaSe2F8
1.0
-3.905 -0.740 -3.029
-0.164 -6.221 -0.503
-2.764 3.029 6.051
Ba Se F
1 2 8
direct
0.000 0.000 0.000 Ba
0.271 0.203 0.625 Se
0.729 0.797 0.375 Se
0.203 0.841 0.356 F
0.797 0.159 0.644 F
0.618 0.910 0.147 F
0.201 0.307 0.410 F
0.283 0.523 0.827 F
0.382 0.090 0.853 F
0.799 0.693 0.590 F
0.717 0.477 0.173 F
```